Pm2MnCoO6 | PBE+U | relaxed

a b c (Å): 5.421 5.672 7.519
angles (deg): 90.00 89.26 90.00
Each line ends with the local moment (μB).
Sites, in units of the cell vectors:
Pm 0.516 0.562 0.750  0.00
Pm 0.484 0.438 0.250  0.00
Pm 0.984 0.062 0.750  0.00
Pm 0.016 0.938 0.250  0.00
O 0.212 0.195 0.046  0.01
O 0.712 0.305 0.546  0.01
O 0.288 0.695 0.454  0.01
O 0.411 0.976 0.749  -0.04
O 0.589 0.024 0.251  -0.04
O 0.911 0.524 0.249  -0.04
O 0.198 0.209 0.455  -0.02
O 0.089 0.476 0.751  -0.04
O 0.302 0.709 0.045  -0.02
O 0.802 0.791 0.545  -0.02
O 0.698 0.291 0.955  -0.02
O 0.788 0.805 0.954  0.01
Mn 0.000 0.500 0.000  3.82
Mn 0.500 0.000 0.500  3.82
Co 0.000 0.500 0.500  0.21
Co 0.500 0.000 0.000  0.21

Values from the calculation:
The value obtained for the density of states at the Fermi level is 0.007 states/eV per atom. Its total DFT energy (no corrections) is -7.543 eV per atom.